Below is crystalline KCd2InAg at its relaxed geometry, with properties calculated at the PBE-GGA level.

Cell and atoms, written as extended XYZ:
```
5
Lattice="5.420 0.000 0.000 0.000 5.420 0.000 0.000 0.000 5.398" Properties=species:S:1:pos:R:3 pbc="T T T"
K 0.000 0.000 0.000
Cd 0.000 2.710 2.699
Cd 2.710 0.000 2.699
In 2.710 2.710 0.000
Ag 2.710 2.710 2.699
```

Summary:
For the offset from the most stable computed form, the calculation gives 112.0 meV/atom. The calculation puts the density of states at the Fermi level at 2.379 states/eV/f.u. The formation energy comes out at 52 meV/atom.


Below is crystalline KCdIn2Ag2 at its relaxed geometry, with properties calculated at the PBE-GGA level.

Cell and atoms, written as extended XYZ:
```
6
Lattice="5.242 0.000 0.000 0.000 5.242 0.000 0.000 0.000 6.437" Properties=species:S:1:pos:R:3 pbc="T T T"
K 0.000 0.000 0.000
Cd 0.000 0.000 3.219
In 2.621 2.621 1.577
In 2.621 2.621 4.860
Ag 0.000 2.621 3.219
Ag 2.621 0.000 3.219
```

Summary:
The calculation puts the density of states at the Fermi level at 3.728 states/eV/f.u. The formation energy comes out at 92 meV/atom.


Below is crystalline KCdIn4Ag2 at its relaxed geometry, with properties calculated at the PBE-GGA level.

Cell and atoms, written as extended XYZ:
```
8
Lattice="2.414 1.394 11.021 -2.414 1.394 11.021 0.000 -2.787 11.021" Properties=species:S:1:pos:R:3 pbc="T T T"
K 0.000 0.000 0.000
Cd 0.000 0.000 16.532
In 0.000 0.000 4.109
In 0.000 0.000 13.330
In 0.000 0.000 19.733
In 0.000 0.000 28.955
Ag 0.000 0.000 7.762
Ag 0.000 0.000 25.302
```

Summary:
The calculation puts the density of states at the Fermi level at 2.387 states/eV/f.u. The formation energy comes out at -19 meV/atom.


Below is crystalline KCd2InAg at its relaxed geometry, with properties calculated at the PBE-GGA level.

Cell and atoms, written as extended XYZ:
```
5
Lattice="-2.337 2.437 6.274 2.337 -2.437 6.274 2.337 2.437 -6.274" Properties=species:S:1:pos:R:3 pbc="T T T"
K 0.000 0.000 0.000
Cd 0.000 0.000 7.661
Cd 0.000 2.437 3.282
In 2.337 0.000 3.203
Ag 0.000 0.000 4.860
```

Summary:
For the offset from the most stable computed form, the calculation gives 0.0 meV/atom. The calculation puts the density of states at the Fermi level at 2.519 states/eV/f.u. The formation energy comes out at -60 meV/atom.


Below is crystalline KCd2InAg4 at its relaxed geometry, with properties calculated at the PBE-GGA level.

Cell and atoms, written as extended XYZ:
```
8
Lattice="2.388 1.379 10.024 -2.388 1.379 10.024 0.000 -2.757 10.024" Properties=species:S:1:pos:R:3 pbc="T T T"
K 0.000 0.000 0.000
Cd 0.000 0.000 7.276
Cd 0.000 0.000 22.795
In 0.000 0.000 15.035
Ag 0.000 0.000 3.902
Ag 0.000 0.000 12.238
Ag 0.000 0.000 17.833
Ag 0.000 0.000 26.169
```

Summary:
The calculation puts the density of states at the Fermi level at 2.586 states/eV/f.u. The formation energy comes out at 30 meV/atom.


Below is crystalline KCd6InAg at its relaxed geometry, with properties calculated at the PBE-GGA level.

Cell and atoms, written as extended XYZ:
```
18
Lattice="5.440 -5.784 0.000 5.440 5.784 0.000 -2.621 0.000 7.388" Properties=species:S:1:pos:R:3 pbc="T T T"
K -0.647 0.000 1.904
K 8.907 0.000 5.484
Cd 1.439 2.943 6.590
Cd 4.105 2.545 2.198
Cd 2.620 0.000 0.978
Cd 1.373 0.000 4.754
Cd 4.154 2.545 5.190
Cd 6.820 2.943 0.798
Cd 1.439 -2.943 6.590
Cd 4.105 -2.545 2.198
Cd 6.887 0.000 2.634
Cd 5.639 0.000 6.410
Cd 4.154 -2.545 5.190
Cd 6.820 -2.943 0.798
In 5.440 0.000 0.000
In 4.130 0.000 3.694
Ag 1.410 2.892 3.694
Ag 1.410 -2.892 3.694
```

Summary:
The calculation puts the density of states at the Fermi level at 3.715 states/eV/f.u. The formation energy comes out at 31 meV/atom.


Below is crystalline KCdInAg at its relaxed geometry, with properties calculated at the PBE-GGA level.

Cell and atoms, written as extended XYZ:
```
4
Lattice="2.445 1.412 6.233 -2.445 1.412 6.233 0.000 -2.823 6.233" Properties=species:S:1:pos:R:3 pbc="T T T"
K 0.000 0.000 0.000
Cd 0.000 0.000 9.860
In 0.000 0.000 15.010
Ag 0.000 0.000 3.509
```

Summary:
For the offset from the most stable computed form, the calculation gives 0.0 meV/atom. The calculation puts the density of states at the Fermi level at 0.943 states/eV/f.u. The formation energy comes out at -77 meV/atom.


Below is crystalline KCd4InAg2 at its relaxed geometry, with properties calculated at the PBE-GGA level.

Cell and atoms, written as extended XYZ:
```
8
Lattice="2.663 1.537 8.123 -2.663 1.537 8.123 0.000 -3.075 8.123" Properties=species:S:1:pos:R:3 pbc="T T T"
K 0.000 0.000 0.000
Cd 0.000 0.000 3.376
Cd 0.000 0.000 9.239
Cd 0.000 0.000 15.129
Cd 0.000 0.000 20.993
In 0.000 0.000 12.184
Ag 0.000 0.000 6.289
Ag 0.000 0.000 18.079
```

Summary:
The calculation puts the density of states at the Fermi level at 2.573 states/eV/f.u. The formation energy comes out at 90 meV/atom.


Below is crystalline K2Cd4In3Ag at its relaxed geometry, with properties calculated at the PBE-GGA level.

Cell and atoms, written as extended XYZ:
```
10
Lattice="4.787 0.000 0.000 0.000 4.787 0.000 0.000 0.000 12.677" Properties=species:S:1:pos:R:3 pbc="T T T"
K 0.000 2.394 3.128
K 2.394 0.000 9.550
Cd 0.000 0.000 6.339
Cd 0.000 2.394 10.986
Cd 2.394 0.000 1.691
Cd 2.394 2.394 6.339
In 0.000 0.000 0.000
In 0.000 2.394 8.099
In 2.394 0.000 4.579
Ag 2.394 2.394 0.000
```

Summary:
The calculation puts the density of states at the Fermi level at 5.099 states/eV/f.u. The formation energy comes out at -66 meV/atom.


Below is crystalline K2Cd12InAg3 at its relaxed geometry, with properties calculated at the PBE-GGA level.

Cell and atoms, written as extended XYZ:
```
18
Lattice="4.912 2.836 6.792 -4.912 2.836 6.792 0.000 -5.672 6.792" Properties=species:S:1:pos:R:3 pbc="T T T"
K 0.000 0.000 1.834
K 0.000 0.000 18.542
Cd -2.480 -1.432 9.641
Cd 0.000 -1.984 5.571
Cd -1.718 0.992 5.571
Cd 0.000 -2.864 10.736
Cd -2.480 1.432 10.736
Cd -1.718 -0.992 14.805
Cd 1.718 0.992 5.571
Cd 2.480 -1.432 9.641
Cd 0.000 2.864 9.641
Cd 1.718 -0.992 14.805
Cd 0.000 1.984 14.805
Cd 2.480 1.432 10.736
In 0.000 0.000 10.188
Ag -2.456 -1.418 6.792
Ag -2.456 1.418 13.584
Ag 0.000 2.836 6.792
```

Summary:
The calculation puts the density of states at the Fermi level at 6.640 states/eV/f.u. The formation energy comes out at 167 meV/atom.


Below is crystalline KCdInAg2 at its relaxed geometry, with properties calculated at the PBE-GGA level.

Cell and atoms, written as extended XYZ:
```
5
Lattice="-2.191 2.353 6.509 2.191 -2.353 6.509 2.191 2.353 -6.509" Properties=species:S:1:pos:R:3 pbc="T T T"
K 0.000 0.000 0.000
Cd 0.000 0.000 8.005
In 2.191 0.000 3.368
Ag 0.000 0.000 5.188
Ag 0.000 2.353 3.449
```

Summary:
The calculation puts the density of states at the Fermi level at 2.167 states/eV/f.u. The formation energy comes out at -16 meV/atom.


Below is crystalline KCd2In4Ag at its relaxed geometry, with properties calculated at the PBE-GGA level.

Cell and atoms, written as extended XYZ:
```
8
Lattice="2.498 1.442 10.555 -2.498 1.442 10.555 0.000 -2.885 10.555" Properties=species:S:1:pos:R:3 pbc="T T T"
K 0.000 0.000 0.000
Cd 0.000 0.000 7.675
Cd 0.000 0.000 23.989
In 0.000 0.000 4.200
In 0.000 0.000 12.853
In 0.000 0.000 18.811
In 0.000 0.000 27.465
Ag 0.000 0.000 15.832
```

Summary:
The calculation puts the density of states at the Fermi level at 1.481 states/eV/f.u. The formation energy comes out at -29 meV/atom.


Below is crystalline KCdInAg at its relaxed geometry, with properties calculated at the PBE-GGA level.

Cell and atoms, written as extended XYZ:
```
4
Lattice="0.000 3.755 3.755 3.755 0.000 3.755 3.755 3.755 0.000" Properties=species:S:1:pos:R:3 pbc="T T T"
K 0.000 0.000 0.000
Cd 5.633 5.633 5.633
In 3.755 3.755 3.755
Ag 1.878 1.878 1.878
```

Summary:
For the offset from the most stable computed form, the calculation gives 140.3 meV/atom. The calculation puts the density of states at the Fermi level at 1.801 states/eV/f.u. The formation energy comes out at 64 meV/atom.


Below is crystalline K2CdIn3Ag4 at its relaxed geometry, with properties calculated at the PBE-GGA level.

Cell and atoms, written as extended XYZ:
```
10
Lattice="4.835 0.000 0.000 0.000 4.835 0.000 0.000 0.000 11.778" Properties=species:S:1:pos:R:3 pbc="T T T"
K 0.000 2.417 2.906
K 2.417 0.000 8.872
Cd 0.000 0.000 5.889
In 0.000 2.417 10.316
In 2.417 0.000 1.462
In 2.417 2.417 5.889
Ag 0.000 0.000 0.000
Ag 0.000 2.417 7.495
Ag 2.417 0.000 4.283
Ag 2.417 2.417 0.000
```

Summary:
The calculation puts the density of states at the Fermi level at 4.529 states/eV/f.u. The formation energy comes out at -49 meV/atom.


Below is crystalline La4CdIn2Ag at its relaxed geometry, with properties calculated at the PBE-GGA level.

Cell and atoms, written as extended XYZ:
```
8
Lattice="2.776 1.603 9.083 -2.776 1.603 9.083 0.000 -3.206 9.083" Properties=species:S:1:pos:R:3 pbc="T T T"
La 0.000 0.000 3.332
La 0.000 0.000 10.144
La 0.000 0.000 17.106
La 0.000 0.000 23.918
Cd 0.000 0.000 13.625
In 0.000 0.000 6.745
In 0.000 0.000 20.505
Ag 0.000 0.000 0.000
```

Summary:
The calculation puts the density of states at the Fermi level at 9.587 states/eV/f.u. The formation energy comes out at -406 meV/atom.


Below is crystalline La2CdIn3Ag4 at its relaxed geometry, with properties calculated at the PBE-GGA level.

Cell and atoms, written as extended XYZ:
```
10
Lattice="4.650 0.000 0.000 0.000 4.650 0.000 0.000 0.000 11.529" Properties=species:S:1:pos:R:3 pbc="T T T"
La 0.000 2.325 2.815
La 2.325 0.000 8.714
Cd 0.000 0.000 5.764
In 0.000 2.325 10.011
In 2.325 0.000 1.518
In 2.325 2.325 5.764
Ag 0.000 0.000 0.000
Ag 0.000 2.325 7.343
Ag 2.325 0.000 4.186
Ag 2.325 2.325 0.000
```

Summary:
The calculation puts the density of states at the Fermi level at 8.140 states/eV/f.u. The formation energy comes out at -278 meV/atom.


Below is crystalline La4CdInAg2 at its relaxed geometry, with properties calculated at the PBE-GGA level.

Cell and atoms, written as extended XYZ:
```
8
Lattice="2.751 1.588 9.011 -2.751 1.588 9.011 0.000 -3.176 9.011" Properties=species:S:1:pos:R:3 pbc="T T T"
La 0.000 0.000 3.362
La 0.000 0.000 10.128
La 0.000 0.000 16.904
La 0.000 0.000 23.670
Cd 0.000 0.000 0.000
In 0.000 0.000 13.516
Ag 0.000 0.000 6.780
Ag 0.000 0.000 20.252
```

Summary:
The calculation puts the density of states at the Fermi level at 8.726 states/eV/f.u. The formation energy comes out at -328 meV/atom.


Below is crystalline La2CdIn4Ag3 at its relaxed geometry, with properties calculated at the PBE-GGA level.

Cell and atoms, written as extended XYZ:
```
10
Lattice="4.612 0.000 0.000 0.000 4.612 0.000 0.000 0.000 11.902" Properties=species:S:1:pos:R:3 pbc="T T T"
La 0.000 2.306 2.971
La 2.306 0.000 8.932
Cd 0.000 0.000 5.951
In 0.000 0.000 0.000
In 0.000 2.306 7.617
In 2.306 0.000 4.285
In 2.306 2.306 0.000
Ag 0.000 2.306 10.287
Ag 2.306 0.000 1.615
Ag 2.306 2.306 5.951
```

Summary:
The calculation puts the density of states at the Fermi level at 6.114 states/eV/f.u. The formation energy comes out at -321 meV/atom.


Below is crystalline Li2CdIn2Ag2 at its relaxed geometry, with properties calculated at the PBE-GGA level.

Cell and atoms, written as extended XYZ:
```
7
Lattice="2.379 1.374 6.875 -2.379 1.374 6.875 0.000 -2.747 6.875" Properties=species:S:1:pos:R:3 pbc="T T T"
Li 0.000 0.000 2.953
Li 0.000 0.000 17.672
Cd 0.000 0.000 0.000
In 0.000 0.000 8.807
In 0.000 0.000 11.818
Ag 0.000 0.000 5.713
Ag 0.000 0.000 14.913
```

Summary:
The calculation puts the density of states at the Fermi level at 2.067 states/eV/f.u. The formation energy comes out at -186 meV/atom.


Below is crystalline Li2CdIn2Ag5 at its relaxed geometry, with properties calculated at the PBE-GGA level.

Cell and atoms, written as extended XYZ:
```
20
Lattice="9.517 0.000 0.000 0.000 9.517 0.000 0.000 0.000 4.138" Properties=species:S:1:pos:R:3 pbc="T T T"
Li 1.166 3.593 0.000
Li 3.593 8.351 0.000
Li 5.924 1.166 0.000
Li 8.351 5.924 0.000
Cd 0.000 0.000 0.000
Cd 4.758 4.758 0.000
In 1.619 6.377 0.000
In 3.139 1.619 0.000
In 6.377 7.898 0.000
In 7.898 3.139 0.000
Ag 0.000 4.758 2.069
Ag 0.834 1.892 2.069
Ag 1.892 8.682 2.069
Ag 2.866 3.924 2.069
Ag 3.924 6.651 2.069
Ag 4.758 0.000 2.069
Ag 5.593 2.866 2.069
Ag 6.651 5.593 2.069
Ag 7.624 0.834 2.069
Ag 8.682 7.624 2.069
```

Summary:
The calculation puts the density of states at the Fermi level at 2.182 states/eV/f.u. The formation energy comes out at -92 meV/atom.


Below is crystalline Li2Cd5In2Ag2 at its relaxed geometry, with properties calculated at the PBE-GGA level.

Cell and atoms, written as extended XYZ:
```
11
Lattice="-2.100 2.100 16.850 2.100 -2.100 16.850 2.100 2.100 -16.850" Properties=species:S:1:pos:R:3 pbc="T T T"
Li 0.000 0.000 6.734
Li 0.000 0.000 26.965
Cd 2.100 0.000 4.709
Cd 2.100 0.000 12.140
Cd 0.000 0.000 16.850
Cd 0.000 2.100 4.709
Cd 0.000 2.100 12.140
In 0.000 0.000 9.565
In 0.000 0.000 24.134
Ag 0.000 0.000 14.118
Ag 0.000 0.000 19.581
```

Summary:
The calculation puts the density of states at the Fermi level at 4.798 states/eV/f.u. The formation energy comes out at 101 meV/atom.


Below is crystalline Li2Cd2InAg2 at its relaxed geometry, with properties calculated at the PBE-GGA level.

Cell and atoms, written as extended XYZ:
```
7
Lattice="2.364 1.365 6.851 -2.364 1.365 6.851 0.000 -2.730 6.851" Properties=species:S:1:pos:R:3 pbc="T T T"
Li 0.000 0.000 1.633
Li 0.000 0.000 18.919
Cd 0.000 0.000 7.346
Cd 0.000 0.000 13.207
In 0.000 0.000 10.276
Ag 0.000 0.000 4.462
Ag 0.000 0.000 16.091
```

Summary:
The calculation puts the density of states at the Fermi level at 2.336 states/eV/f.u. The formation energy comes out at -201 meV/atom.


Below is crystalline LiCdIn2Ag at its relaxed geometry, with properties calculated at the PBE-GGA level.

Cell and atoms, written as extended XYZ:
```
10
Lattice="6.895 0.000 0.000 0.000 4.212 0.000 -0.635 0.000 7.356" Properties=species:S:1:pos:R:3 pbc="T T T"
Li 0.254 1.053 1.112
Li 6.006 3.159 6.245
Cd 2.943 1.053 2.515
Cd 3.316 3.159 4.841
In 0.764 3.159 3.267
In 2.269 3.159 0.296
In 3.990 1.053 7.060
In 5.495 1.053 4.090
Ag 1.145 1.053 5.606
Ag 5.114 3.159 1.750
```

Summary:
The calculation puts the density of states at the Fermi level at 1.408 states/eV/f.u. The formation energy comes out at -96 meV/atom.